Entry 1:
The following is a DFT calculation (PBE) of a relaxed La3NdC2I2 crystal.

Cell and atoms, written as POSCAR:
```
La3NdC2I2
1.0
3.935 0.000 0.000
-1.967 3.408 0.000
0.000 0.000 15.934
La Nd C I
3 1 2 2
direct
0.000 0.000 0.000 La
0.000 0.000 0.327 La
0.333 0.667 0.503 La
0.333 0.667 0.827 Nd
0.667 0.333 0.415 C
0.667 0.333 0.911 C
0.000 0.000 0.669 I
0.333 0.667 0.163 I
```

Properties
- Crystal system: trigonal
- Total energy: -46.83 eV for the cell shown

***

Entry 2:
The following is a DFT calculation (PBE) of a relaxed La2Pr2C2I5 crystal.

Cell and atoms, written as POSCAR:
```
La2Pr2C2I5
1.0
-2.061 4.430 9.916
2.061 -4.430 9.916
2.061 4.430 -9.916
La Pr C I
2 2 2 5
direct
0.152 0.152 0.000 La
0.848 0.848 0.000 La
0.192 0.500 0.692 Pr
0.808 0.500 0.308 Pr
0.035 0.035 0.000 C
0.965 0.965 0.000 C
0.118 0.339 0.779 I
0.440 0.661 0.779 I
0.500 0.000 0.500 I
0.560 0.339 0.221 I
0.882 0.661 0.221 I
```

Properties
- Crystal system: orthorhombic
- Total energy: -57.77 eV for the cell shown